Entry 1:
Compound: La2GeP3Ir4
Source: the Alexandria database
Functional: GGA-PBE
Structure: optimized geometry

Geometry as POSCAR:
```
La2GeP3Ir4
1.0
-1.188 1.909 -3.547
3.505 -1.332 -1.891
-4.706 -8.288 -2.886
La Ge P Ir
2 1 3 4
direct
0.500 0.000 0.253 La
0.000 0.500 0.747 La
0.500 0.500 0.500 Ge
0.000 0.000 0.500 P
0.500 0.000 0.864 P
0.000 0.500 0.136 P
0.500 0.500 0.000 Ir
0.000 0.000 0.000 Ir
0.500 0.000 0.627 Ir
0.000 0.500 0.373 Ir
```

Values from the calculation:
**Fermi-level density of states**: 5.6 states/eV per cell
**Energy relative to the elements**: -21.57 kcal/mol of atoms
**E**: -7.550 eV per atom

Entry 2:
Compound: LaGePIr
Source: the Alexandria database
Functional: GGA-PBE
Structure: optimized geometry

Geometry as POSCAR:
```
LaGePIr
1.0
4.202 0.000 0.000
0.000 4.202 0.000
0.000 0.000 9.550
La Ge P Ir
2 2 2 2
direct
0.000 0.500 0.806 La
0.500 0.000 0.194 La
0.000 0.500 0.365 Ge
0.500 0.000 0.635 Ge
0.500 0.000 0.877 P
0.000 0.500 0.123 P
0.000 0.000 0.500 Ir
0.500 0.500 0.500 Ir
```

Values from the calculation:
**Fermi-level density of states**: 2.7 states/eV per cell
**Energy relative to the elements**: -21.52 kcal/mol of atoms
**E**: -6.887 eV per atom

Number 2 is which compound? LaGePIr